Record 1
{
  "formula": "Tb2Y3Tm6Sc",
  "functional": "PBE",
  "state": "relaxed",
  "space_group": "C2/m (12)",
  "magmom_total_mub_per_fu": 0.00,
  "lattice_angstrom": [[6.061, 0.002, -0.008], [-3.028, 5.251, -0.008], [-0.993, -1.719, 11.449]],
  "species": ["Tb", "Tb", "Y", "Y", "Y", "Tm", "Tm", "Tm", "Tm", "Tm", "Tm", "Sc"],
  "fractional_positions": [[0.333, 0.667, 0.000], [0.667, 0.333, 0.000], [0.166, 0.834, 0.500], [0.834, 0.166, 0.500], [0.500, 0.500, 0.500], [0.918, 0.587, 0.753], [0.751, 0.751, 0.247], [0.082, 0.413, 0.247], [0.587, 0.918, 0.753], [0.249, 0.249, 0.753], [0.413, 0.082, 0.247], [0.000, 0.000, 0.000]]
}


Record 2
{
  "formula": "Tb2YTm4Sc",
  "functional": "PBE",
  "state": "relaxed",
  "space_group": "P4/mmm (123)",
  "magmom_total_mub_per_fu": 0.00,
  "lattice_angstrom": [[-0.388, -4.887, -0.583], [4.576, -0.575, 1.773], [0.943, -1.372, 10.886]],
  "species": ["Tb", "Tb", "Y", "Tm", "Tm", "Tm", "Tm", "Sc"],
  "fractional_positions": [[0.000, 0.000, 0.000], [0.500, 0.000, 0.500], [0.500, 0.500, 0.000], [0.000, 0.755, 0.745], [0.000, 0.245, 0.255], [0.500, 0.745, 0.256], [0.500, 0.255, 0.744], [0.000, 0.500, 0.500]]
}


Record 3
{
  "formula": "Tb2Y6TmSc",
  "functional": "PBE",
  "state": "relaxed",
  "space_group": "C2/c (15)",
  "magmom_total_mub_per_fu": 0.00,
  "lattice_angstrom": [[8.415, -1.579, -1.639], [0.958, 8.820, -2.265], [0.958, -2.590, 8.730]],
  "species": ["Tb", "Tb", "Tb", "Tb", "Y", "Y", "Y", "Y", "Y", "Y", "Y", "Y", "Y", "Y", "Y", "Y", "Tm", "Tm", "Sc", "Sc"],
  "fractional_positions": [[0.448, 0.789, 0.685], [0.052, 0.315, 0.211], [0.552, 0.211, 0.315], [0.948, 0.685, 0.789], [0.051, 0.127, 0.795], [0.449, 0.205, 0.873], [0.949, 0.873, 0.205], [0.551, 0.795, 0.127], [0.295, 0.049, 0.459], [0.205, 0.541, 0.951], [0.705, 0.951, 0.541], [0.795, 0.459, 0.049], [0.091, 0.734, 0.470], [0.409, 0.530, 0.266], [0.909, 0.266, 0.530], [0.591, 0.470, 0.734], [0.250, 0.967, 0.033], [0.750, 0.033, 0.967], [0.250, 0.445, 0.555], [0.750, 0.555, 0.445]]
}


Record 4
{
  "formula": "Tb6Y2Tm3Sc",
  "functional": "PBE",
  "state": "relaxed",
  "space_group": "C2/m (12)",
  "magmom_total_mub_per_fu": 0.00,
  "lattice_angstrom": [[-3.331, -5.071, -0.628], [5.770, -0.367, 1.943], [-4.393, 2.818, 10.394]],
  "species": ["Tb", "Tb", "Tb", "Tb", "Tb", "Tb", "Y", "Y", "Tm", "Tm", "Tm", "Sc"],
  "fractional_positions": [[0.917, 0.587, 0.750], [0.752, 0.752, 0.250], [0.083, 0.413, 0.250], [0.587, 0.917, 0.750], [0.248, 0.248, 0.750], [0.413, 0.083, 0.250], [0.333, 0.667, 0.000], [0.667, 0.333, 0.000], [0.166, 0.834, 0.500], [0.834, 0.166, 0.500], [0.500, 0.500, 0.500], [0.000, 0.000, 0.000]]
}


Record 5
{
  "formula": "Tb2Y2TmSc",
  "functional": "PBE",
  "state": "relaxed",
  "space_group": "Pmma (51)",
  "magmom_total_mub_per_fu": 0.00,
  "lattice_angstrom": [[5.518, 0.000, 0.000], [0.000, 6.948, 0.000], [0.000, 0.000, 9.537]],
  "species": ["Tb", "Tb", "Tb", "Tb", "Y", "Y", "Y", "Y", "Tm", "Tm", "Sc", "Sc"],
  "fractional_positions": [[0.000, 0.258, 0.815], [0.500, 0.258, 0.351], [0.000, 0.758, 0.185], [0.500, 0.758, 0.649], [0.500, 0.008, 0.000], [0.000, 0.258, 0.157], [0.500, 0.508, 0.000], [0.000, 0.758, 0.843], [0.000, 0.008, 0.500], [0.000, 0.508, 0.500], [0.500, 0.258, 0.678], [0.500, 0.758, 0.322]]
}


Record 6
{
  "formula": "TbY6TmSc2",
  "functional": "PBE",
  "state": "relaxed",
  "space_group": "C2/c (15)",
  "magmom_total_mub_per_fu": 0.00,
  "lattice_angstrom": [[9.009, -1.947, -2.021], [0.723, 8.372, -1.904], [0.723, -2.213, 8.296]],
  "species": ["Tb", "Tb", "Y", "Y", "Y", "Y", "Y", "Y", "Y", "Y", "Y", "Y", "Y", "Y", "Tm", "Tm", "Sc", "Sc", "Sc", "Sc"],
  "fractional_positions": [[0.250, 0.406, 0.594], [0.750, 0.594, 0.406], [0.054, 0.116, 0.758], [0.446, 0.242, 0.884], [0.946, 0.884, 0.242], [0.554, 0.758, 0.116], [0.319, 0.982, 0.435], [0.181, 0.565, 0.018], [0.681, 0.018, 0.565], [0.819, 0.435, 0.982], [0.117, 0.701, 0.497], [0.383, 0.503, 0.299], [0.883, 0.299, 0.503], [0.617, 0.497, 0.701], [0.250, 0.973, 0.027], [0.750, 0.027, 0.973], [0.452, 0.806, 0.703], [0.048, 0.297, 0.194], [0.548, 0.194, 0.297], [0.952, 0.703, 0.806]]
}


Record 7
{
  "formula": "Tb2YTm6Sc3",
  "functional": "PBE",
  "state": "relaxed",
  "space_group": "C2/m (12)",
  "magmom_total_mub_per_fu": 0.00,
  "lattice_angstrom": [[-0.187, -4.836, 3.533], [5.193, 1.721, -2.445], [0.406, 7.491, 8.582]],
  "species": ["Tb", "Tb", "Y", "Tm", "Tm", "Tm", "Tm", "Tm", "Tm", "Sc", "Sc", "Sc"],
  "fractional_positions": [[0.333, 0.667, 0.000], [0.667, 0.333, 0.000], [0.000, 0.000, 0.000], [0.913, 0.580, 0.741], [0.753, 0.753, 0.259], [0.087, 0.420, 0.259], [0.580, 0.913, 0.741], [0.247, 0.247, 0.741], [0.420, 0.087, 0.259], [0.167, 0.833, 0.500], [0.833, 0.167, 0.500], [0.500, 0.500, 0.500]]
}


Record 8
{
  "formula": "TbYTm2Sc4",
  "functional": "PBE",
  "state": "relaxed",
  "space_group": "C2/c (15)",
  "magmom_total_mub_per_fu": 4.42,
  "lattice_angstrom": [[-4.097, -5.947, -5.476], [0.385, -6.470, 6.334], [-2.224, 10.944, 1.328]],
  "species": ["Tb", "Tb", "Y", "Y", "Tm", "Tm", "Tm", "Tm", "Sc", "Sc", "Sc", "Sc", "Sc", "Sc", "Sc", "Sc"],
  "fractional_positions": [[0.500, 0.500, 0.500], [0.000, 0.000, 0.000], [0.000, 0.500, 0.000], [0.000, 0.500, 0.500], [0.500, 0.000, 0.000], [0.500, 0.000, 0.500], [0.000, 0.000, 0.500], [0.500, 0.500, 0.000], [0.255, 0.750, 0.003], [0.750, 0.245, 0.497], [0.250, 0.755, 0.503], [0.745, 0.250, 0.997], [0.746, 0.751, 0.000], [0.749, 0.754, 0.500], [0.251, 0.246, 0.500], [0.254, 0.249, 0.000]]
}


Record 9
{
  "formula": "Tb6YTm3Sc2",
  "functional": "PBE",
  "state": "relaxed",
  "space_group": "C2/m (12)",
  "magmom_total_mub_per_fu": 0.00,
  "lattice_angstrom": [[6.061, 0.002, 0.005], [-3.027, 5.250, 0.005], [-1.017, -1.760, 11.336]],
  "species": ["Tb", "Tb", "Tb", "Tb", "Tb", "Tb", "Y", "Tm", "Tm", "Tm", "Sc", "Sc"],
  "fractional_positions": [[0.917, 0.581, 0.754], [0.746, 0.746, 0.247], [0.083, 0.419, 0.246], [0.581, 0.917, 0.754], [0.254, 0.254, 0.753], [0.419, 0.083, 0.246], [0.000, 0.000, 0.000], [0.167, 0.833, 0.500], [0.833, 0.167, 0.500], [0.500, 0.500, 0.500], [0.333, 0.667, 0.000], [0.667, 0.333, 0.000]]
}


Record 10
{
  "formula": "TbTmScZn",
  "functional": "PBE",
  "state": "relaxed",
  "space_group": "P4mm (99)",
  "magmom_total_mub_per_fu": 0.00,
  "de_polymorph_kcal_per_mol_atoms": 0.00,
  "lattice_angstrom": [[3.497, 0.000, 0.000], [0.000, 3.497, 0.000], [0.000, 0.000, 8.246]],
  "species": ["Tb", "Tm", "Sc", "Zn"],
  "fractional_positions": [[0.500, 0.500, 0.790], [0.500, 0.500, 0.354], [0.000, 0.000, 0.075], [0.000, 0.000, 0.566]]
}


Record 11
{
  "formula": "TbTmScZn",
  "functional": "PBE",
  "state": "relaxed",
  "space_group": "F-43m (216)",
  "magmom_total_mub_per_fu": 0.00,
  "de_polymorph_kcal_per_mol_atoms": 3.21,
  "lattice_angstrom": [[5.191, 0.000, 0.000], [2.595, 4.495, 0.000], [2.595, 1.498, 4.238]],
  "species": ["Sc", "Zn", "Tm", "Tb"],
  "fractional_positions": [[0.000, 0.000, 0.000], [0.500, 0.500, 0.500], [0.750, 0.750, 0.750], [0.250, 0.250, 0.250]]
}


Record 12
{
  "formula": "Tb6Tm2ZrSc3",
  "functional": "PBE",
  "state": "relaxed",
  "space_group": "C2/m (12)",
  "magmom_total_mub_per_fu": 0.00,
  "lattice_angstrom": [[-2.478, 2.812, 4.652], [-3.393, -1.681, -4.620], [0.085, -10.163, 4.917]],
  "species": ["Tb", "Tb", "Tb", "Tb", "Tb", "Tb", "Tm", "Tm", "Zr", "Sc", "Sc", "Sc"],
  "fractional_positions": [[0.915, 0.587, 0.747], [0.756, 0.756, 0.252], [0.085, 0.413, 0.253], [0.587, 0.915, 0.747], [0.244, 0.244, 0.748], [0.413, 0.085, 0.253], [0.333, 0.667, 0.000], [0.667, 0.333, 0.000], [0.000, 0.000, 0.000], [0.167, 0.833, 0.500], [0.833, 0.167, 0.500], [0.500, 0.500, 0.500]]
}


Number 1: formation energy from the elements 0.034 eV per atom, raw total energy -5.12 eV/atom, density of states at the Fermi level 1.46 states/eV per atom. Number 2: formation energy from the elements 0.036 eV per atom, raw total energy -4.96 eV/atom, density of states at the Fermi level 1.50 states/eV per atom. Number 3: formation energy from the elements 0.121 eV per atom, raw total energy -5.76 eV/atom, density of states at the Fermi level 1.28 states/eV per atom. Number 4: formation energy from the elements 0.028 eV per atom, raw total energy -5.01 eV/atom, density of states at the Fermi level 1.38 states/eV per atom. Number 5: formation energy from the elements 0.066 eV per atom, raw total energy -5.43 eV/atom, density of states at the Fermi level 1.80 states/eV per atom. Number 6: formation energy from the elements 0.126 eV per atom, raw total energy -5.93 eV/atom, density of states at the Fermi level 1.69 states/eV per atom. Number 7: formation energy from the elements 0.046 eV per atom, raw total energy -5.08 eV/atom, density of states at the Fermi level 1.55 states/eV per atom. Number 8: formation energy from the elements 0.442 eV per atom, raw total energy -5.23 eV/atom, density of states at the Fermi level 2.09 states/eV per atom. Number 9: formation energy from the elements 0.036 eV per atom, raw total energy -4.99 eV/atom, density of states at the Fermi level 1.39 states/eV per atom. Number 10: formation energy from the elements -0.144 eV per atom, raw total energy -4.32 eV/atom, density of states at the Fermi level 1.11 states/eV per atom. Number 11: formation energy from the elements -0.005 eV per atom, raw total energy -4.18 eV/atom, density of states at the Fermi level 1.04 states/eV per atom. Number 12: formation energy from the elements 0.063 eV per atom, raw total energy -5.29 eV/atom, density of states at the Fermi level 1.35 states/eV per atom.